First-principles (GGA-PBEsol) data for crystalline AgPdF2 at its relaxed geometry, as listed in Alexandria.

Cell: 2.8511 2.8511 7.6637 Å, 79.28 79.28 60.00°
Last column: nearest neighbours and their distance in Å.
Atoms (fractional coordinates):
Ag1 0.5000 0.5000 0.5000  6 F 2.41
Pd1 0.0000 0.0000 0.0000  2 F 1.98
F1 0.9119 0.9119 0.2642  1 Pd 1.98
F2 0.0881 0.0881 0.7358  1 Pd 1.98

Total energy in eV per cell: -16.3
Theoretical density in g/cm3: 7.95
DOS(E_F) in states/eV/f.u.: 1.2
Crystal system: trigonal
Space-group type: No. 166

=====

First-principles (GGA-PBEsol) data for crystalline AgPdF3 at its relaxed geometry, as listed in Alexandria.

Cell: 4.1512 4.1512 4.1512 Å, 90.00 90.00 90.00°
Last column: nearest neighbours and their distance in Å.
Atoms (fractional coordinates):
Ag1 0.5000 0.5000 0.5000  12 F 2.94
Pd1 0.0000 0.0000 0.0000  6 F 2.08
F1 0.0000 0.5000 0.0000  2 Pd 2.08
F2 0.0000 0.0000 0.5000  2 Pd 2.08
F3 0.5000 0.0000 0.0000  2 Pd 2.08

Total energy in eV per cell: -19.6
Theoretical density in g/cm3: 6.30
DOS(E_F) in states/eV/f.u.: 1.4
Crystal system: cubic
Space-group type: No. 221

=====

First-principles (GGA-PBEsol) data for crystalline AgPdF6 at its relaxed geometry, as listed in Alexandria.

Cell: 4.9704 5.0315 10.0039 Å, 76.68 77.37 61.08°
Last column: nearest neighbours and their distance in Å.
Atoms (fractional coordinates):
Ag1 0.5000 0.5000 0.5000  4 F 2.08-2.17
Ag2 0.0000 0.0000 0.0000  4 F 2.11-2.12
Pd1 0.2945 0.2173 0.2500  6 F 1.90-1.95
Pd2 0.7055 0.7827 0.7500  6 F 1.90-1.95
F1 0.9594 0.4788 0.3667  1 Pd 1.90
F2 0.0406 0.5212 0.6333  1 Pd 1.90
F3 0.6349 0.9407 0.1330  1 Pd 1.94, 1 Ag 2.11
F4 0.3651 0.0593 0.8670  1 Pd 1.94, 1 Ag 2.11
F5 0.6650 0.4433 0.8643  1 Pd 1.90
F6 0.3350 0.5567 0.1357  1 Pd 1.90
F7 0.9920 0.7302 0.8681  1 Pd 1.93, 1 Ag 2.12
F8 0.0080 0.2698 0.1319  1 Pd 1.93, 1 Ag 2.12
F9 0.4277 0.8238 0.6312  1 Pd 1.92
F10 0.5723 0.1762 0.3688  1 Pd 1.92
F11 0.7634 0.1256 0.6359  1 Pd 1.95, 1 Ag 2.08
F12 0.2366 0.8744 0.3641  1 Pd 1.95, 1 Ag 2.08

Total energy in eV per cell: -61.4
Theoretical density in g/cm3: 5.16
DOS(E_F) in states/eV/f.u.: 1.6
Crystal system: triclinic
Space-group type: No. 2

=====

First-principles (GGA-PBEsol) data for crystalline AgPtF6 at its relaxed geometry, as listed in Alexandria.

Cell: 5.0885 5.0680 10.1769 Å, 76.13 75.92 60.26°
Last column: nearest neighbours and their distance in Å.
Atoms (fractional coordinates):
Ag1 0.5000 0.5000 0.5000  6 F 2.19-2.32
Ag2 0.0000 0.0000 0.0000  6 F 2.20-2.33
Pt1 0.2332 0.2723 0.2500  6 F 1.92-1.94
Pt2 0.7668 0.7277 0.7500  6 F 1.92-1.94
F1 0.1800 0.5513 0.3662  1 Pt 1.93
F2 0.8200 0.4487 0.6338  1 Pt 1.93
F3 0.8969 0.2117 0.3654  1 Pt 1.94
F4 0.1031 0.7883 0.6346  1 Pt 1.94
F5 0.5691 0.3256 0.1346  1 Pt 1.92
F6 0.4309 0.6744 0.8654  1 Pt 1.92
F7 0.2910 0.9906 0.1338  1 Pt 1.94
F8 0.7090 0.0094 0.8662  1 Pt 1.94
F9 0.0465 0.3908 0.8655  1 Pt 1.94
F10 0.9535 0.6092 0.1345  1 Pt 1.94
F11 0.4922 0.0624 0.6343  1 Pt 1.93
F12 0.5078 0.9376 0.3657  1 Pt 1.93

Total energy in eV per cell: -64.0
Theoretical density in g/cm3: 6.33
DOS(E_F) in states/eV/f.u.: 5.9
Crystal system: triclinic
Space-group type: No. 2

=====

First-principles (GGA-PBEsol) data for crystalline AgPtRhF2 at its relaxed geometry, as listed in Alexandria.

Cell: 3.8386 3.8386 5.4139 Å, 90.00 90.00 90.00°
Last column: nearest neighbours and their distance in Å.
Atoms (fractional coordinates):
Rh1 0.0000 0.0000 0.0000  4 F 1.92
Ag1 0.0000 0.0000 0.5000  2 Rh 2.71, 4 Pt 2.71
Pt1 0.5000 0.5000 0.5000  4 Ag 2.71
F1 0.0000 0.5000 0.0000  2 Rh 1.92
F2 0.5000 0.0000 0.0000  2 Rh 1.92

Total energy in eV per cell: -22.0
Theoretical density in g/cm3: 9.24
DOS(E_F) in states/eV/f.u.: 7.7
Crystal system: tetragonal
Space-group type: No. 123

=====

First-principles (GGA-PBEsol) data for crystalline RbAgF3 at its relaxed geometry, as listed in Alexandria.

Cell: 4.8168 4.8168 4.8168 Å, 90.00 90.00 90.00°
Last column: nearest neighbours and their distance in Å.
Atoms (fractional coordinates):
Rb1 0.0000 0.0000 0.0000  6 F 2.41
Ag1 0.5000 0.5000 0.5000  12 F 3.41
F1 0.0000 0.5000 0.0000  2 Rb 2.41
F2 0.0000 0.0000 0.5000  2 Rb 2.41
F3 0.5000 0.0000 0.0000  2 Rb 2.41

Total energy in eV per cell: -14.5
Theoretical density in g/cm3: 3.72
DOS(E_F) in states/eV/f.u.: 1.5
Crystal system: cubic
Space-group type: No. 221

=====

- DOS(E_F) of number 5 (AgPtRhF2)?
  7.7 states/eV/f.u.

=====

- theoretical density of number 6 (RbAgF3)?
  3.72 g/cm3